Entry 1:
Compound: Sr2U3Se8
Source: Alexandria
Functional: PBE
Structure: optimized geometry

Summary:
As for the magnetic moment: 0.4615 μB/atom. The symmetry is Cmmm. As for the crystal system: orthorhombic. For the total DFT energy (no corrections), the calculation gives -6.36 eV/atom. For the density of states at the Fermi level, the calculation gives 14.16 states/eV per cell.

Unit cell a=8.986 b=8.986 c=4.951 alpha=90.00 beta=90.00 gamma=112.25
Element x y z (fractional)
Sr1 0.234 0.766 0.000
Sr2 0.766 0.234 0.000
U1 0.225 0.225 0.500
U2 0.500 0.500 0.000
U3 0.775 0.775 0.500
Se1 0.116 0.884 0.500
Se2 0.153 0.378 0.000
Se3 0.378 0.153 0.000
Se4 0.394 0.606 0.500
Se5 0.606 0.394 0.500
Se6 0.622 0.847 0.000
Se7 0.847 0.622 0.000
Se8 0.884 0.116 0.500


Entry 2:
Compound: SrUSe2
Source: Alexandria
Functional: PBE
Structure: optimized geometry

Summary:
As for the magnetic moment: 0.8276 μB/atom. The symmetry is R-3m. As for the crystal system: trigonal. For the total DFT energy (no corrections), the calculation gives -6.39 eV/atom. For the density of states at the Fermi level, the calculation gives 6.19 states/eV per cell.

Unit cell a=7.640 b=7.640 c=7.640 alpha=31.58 beta=31.58 gamma=31.58
Element x y z (fractional)
Sr1 0.000 0.000 0.000
U1 0.500 0.500 0.500
Se1 0.245 0.245 0.245
Se2 0.755 0.755 0.755


Entry 3:
Compound: SrU2Se4
Source: Alexandria
Functional: PBE
Structure: optimized geometry

Summary:
As for the distance to the lowest polymorph of the same formula: 0 meV/atom. As for the magnetic moment: 0.8168 μB/atom. The symmetry is Cmcm. As for the crystal system: orthorhombic. For the total DFT energy (no corrections), the calculation gives -6.81 eV/atom. For the density of states at the Fermi level, the calculation gives 20.81 states/eV per cell.

Unit cell a=7.098 b=7.098 c=14.154 alpha=90.00 beta=90.00 gamma=146.19
Element x y z (fractional)
Sr1 0.109 0.891 0.750
Sr2 0.891 0.109 0.250
U1 0.366 0.634 0.563
U2 0.366 0.634 0.937
U3 0.634 0.366 0.063
U4 0.634 0.366 0.437
Se1 0.000 0.000 0.000
Se2 0.000 0.000 0.500
Se3 0.272 0.728 0.120
Se4 0.272 0.728 0.380
Se5 0.442 0.558 0.750
Se6 0.558 0.442 0.250
Se7 0.728 0.272 0.620
Se8 0.728 0.272 0.880


Entry 4:
Compound: Sr5USe8
Source: Alexandria
Functional: PBE
Structure: optimized geometry

Summary:
As for the magnetic moment: 0.0103 μB/atom. The symmetry is I-4. As for the crystal system: tetragonal. For the total DFT energy (no corrections), the calculation gives -5.04 eV/atom. For the density of states at the Fermi level, the calculation gives 7.86 states/eV per cell.

Unit cell a=7.949 b=7.949 c=7.949 alpha=110.00 beta=110.00 gamma=108.43
Element x y z (fractional)
Sr1 0.000 0.000 0.000
Sr2 0.113 0.492 0.865
Sr3 0.508 0.373 0.621
Sr4 0.627 0.248 0.135
Sr5 0.752 0.887 0.379
U1 0.250 0.750 0.500
Se1 0.036 0.291 0.402
Se2 0.233 0.094 0.727
Se3 0.366 0.964 0.255
Se4 0.368 0.507 0.273
Se5 0.493 0.767 0.861
Se6 0.709 0.111 0.745
Se7 0.889 0.634 0.598
Se8 0.906 0.632 0.139


Q: Among the records above, which one has the lowest total DFT energy (no corrections)?
A: SrU2Se4